Version w
First-principles (PBE) data for a relaxed NdTmPu2 crystal, as listed in Alexandria via LeMat-Bulk.

Summary:
Space group: P4/mmm

Unit cell a=5.042 b=4.846 c=4.846 alpha=90.00 beta=90.00 gamma=90.00
Each line ends with the local moment (μB).
Positions (direct):
Pu1 0.000 0.000 0.500  5.55
Pu2 0.000 0.500 0.000  5.55
Tm1 0.500 0.000 0.000  0.25
Nd1 0.500 0.500 0.500  0.10

Version x
First-principles (PBE) data for a relaxed NdTmPu2 crystal, as listed in Alexandria via LeMat-Bulk.

Summary:
Space group: P4/mmm

Unit cell a=3.427 b=3.427 c=10.135 alpha=90.00 beta=90.00 gamma=90.00
Each line ends with the local moment (μB).
Positions (direct):
Tm1 0.500 0.500 0.500  0.45
Nd1 0.500 0.500 0.000  0.07
Pu1 0.000 0.000 0.743  5.60
Pu2 0.000 0.000 0.257  5.60

Stability check: which of them is least stable? version w.

Version w
First-principles (PBE) data for a relaxed NdTmPu crystal, as listed in Alexandria via LeMat-Bulk.

Summary:
Space group: P3m1

Unit cell a=3.545 b=3.545 c=8.569 alpha=90.00 beta=90.00 gamma=120.00
Each line ends with the local moment (μB).
Positions (direct):
Pu1 0.667 0.333 0.338  -5.64
Tm1 0.333 0.667 0.661  -0.09
Nd1 0.000 0.000 0.001  0.02

Version x
First-principles (PBE) data for a relaxed NdTmPu crystal, as listed in Alexandria via LeMat-Bulk.

Summary:
Space group: I4mm

Unit cell a=3.530 b=3.530 c=7.838 alpha=103.01 beta=103.01 gamma=90.00
Each line ends with the local moment (μB).
Positions (direct):
Tm1 0.671 0.671 0.342  0.08
Nd1 0.998 0.998 0.996  -0.03
Pu1 0.331 0.331 0.662  5.62

Stability check: which of them is least stable? version w.

Version w
First-principles (PBE) data for a relaxed NdY2Pu crystal, as listed in Alexandria via LeMat-Bulk.

Summary:
Space group: Fm-3m

Unit cell a=5.671 b=5.671 c=5.671 alpha=60.00 beta=60.00 gamma=60.00
Each line ends with the local moment (μB).
Positions (direct):
Y1 0.750 0.750 0.750  0.11
Y2 0.250 0.250 0.250  0.11
Nd1 0.000 0.000 0.000  0.01
Pu1 0.500 0.500 0.500  5.54

Version x
First-principles (PBE) data for a relaxed NdY2Pu crystal, as listed in Alexandria via LeMat-Bulk.

Summary:
Space group: P4/mmm

Unit cell a=3.548 b=3.548 c=10.126 alpha=90.00 beta=90.00 gamma=90.00
Each line ends with the local moment (μB).
Positions (direct):
Pu1 0.500 0.500 0.000  5.61
Nd1 0.500 0.500 0.500  -0.01
Y1 0.000 0.000 0.760  0.12
Y2 0.000 0.000 0.240  0.12

Version y
First-principles (PBE) data for a relaxed NdY2Pu crystal, as listed in Alexandria via LeMat-Bulk.

Summary:
Space group: P4/mmm

Unit cell a=5.056 b=5.021 c=5.021 alpha=90.00 beta=90.00 gamma=90.00
Each line ends with the local moment (μB).
Positions (direct):
Y1 0.000 0.500 0.000  0.08
Y2 0.000 0.000 0.500  0.08
Nd1 0.500 0.500 0.500  0.04
Pu1 0.500 0.000 0.000  5.50

Stability check: which of them is least stable? version w.